First-principles (PBE-GGA) data for a relaxed KRb2ScI6 crystal, as listed in the Alexandria database.

Structure (CIF):
```
data_KRb2ScI6
_chemical_formula_sum 'K2 Rb4 Sc2 I12'
_symmetry_space_group_name_H-M 'P m m n'
_symmetry_Int_Tables_number 59
_cell_length_a 8.4344
_cell_length_b 12.5689
_cell_length_c 9.5935
_cell_angle_alpha 90.00
_cell_angle_beta 90.00
_cell_angle_gamma 90.00
loop_
_symmetry_equiv_pos_as_xyz
'x,y,z'
'-x,-y,-z'
'-x+1/2,-y+1/2,z'
'x+1/2,y+1/2,-z'
'x+1/2,-y,-z'
'-x+1/2,y,z'
'-x,y+1/2,-z'
'x,-y+1/2,z'
loop_
_atom_site_label
_atom_site_fract_x
_atom_site_fract_y
_atom_site_fract_z
_atom_site_occupancy
K1 0.2500 0.2500 0.1966 1
Rb1 0.2500 0.0494 0.6786 1
Sc1 0.2500 0.7500 0.2963 1
I1 0.0008 0.7500 0.0908 1
I2 0.0137 0.7500 0.5191 1
I3 0.2500 0.5187 0.2961 1
```

Calculated values
Excess energy over the best structure of this formula in the dataset   0 meV per atom
V   50.85 Å³ per atom
Uncorrected energy   -3.23 eV per atom
Raw formation energy   -1365 meV per atom